Arrangement P

# FeBIO2

A relaxed FeBIO2 crystal (GGA+U, Alexandria via LeMat-Bulk).

Size of the total moment in μB/f.u.: 4.2

Lattice parameters (Å, degrees): 3.6402 3.6402 5.0070 90.00 90.00 90.00
Site moments in Bohr magnetons follow the coordinates.
Element x y z (fractional)
B 0.0000 0.0000 0.0000  0.01
O 0.5000 0.0000 0.0000  0.15
O 0.0000 0.5000 0.0000  0.15
I 0.0000 0.0000 0.5000  0.05
Fe 0.5000 0.5000 0.5000  3.64


Arrangement Q

# FeBIO2

A relaxed FeBIO2 crystal (GGA+U, Alexandria via LeMat-Bulk).

Size of the total moment in μB/f.u.: 5.1

Lattice parameters (Å, degrees): 3.7388 3.7388 6.4052 90.00 90.00 90.00
Site moments in Bohr magnetons follow the coordinates.
Element x y z (fractional)
O 0.5000 0.0000 0.0000  0.39
O 0.0000 0.5000 0.0000  0.39
Fe 0.0000 0.0000 0.0000  4.07
I 0.0000 0.0000 0.5000  0.04
B 0.5000 0.5000 0.5000  0.00


Tell me which of them is the most stable. Sure, it is arrangement Q.